MgCd2Os GGA-PBE optimized geometry; DOS at the Fermi energy = 2.0 states/eV per cell; total magnetic moment = 0.00 μB per cell; DFT formation energy = 0.30 eV per atom
1.0
4.3116 0.0000 0.0000
0.0000 2.8373 0.0407
0.0000 2.7799 5.9984
Os Cd Mg
1 2 1
Cartesian
2.1558 4.2149 4.4281 Os
0.0000 2.7819 5.9227 Cd
2.1558 1.4024 1.5169 Cd
0.0000 2.8064 3.1892 Mg